## BaHg2Mo (GGA-PBE)

Data for a relaxed BaHg2Mo crystal.

Computed properties:
- size of the total moment (μB per cell) = 4.0
- formation energy from the elements (eV/atom) = 0.644
- offset from the most stable computed form (eV per atom) = 0.2797

Lattice parameters (Å, degrees): 5.4257 5.4257 5.4257 60.00 60.00 60.00
Site moments in Bohr magnetons follow the coordinates.
Fractional coordinates of all 4 atoms:
Hg1 0.0000 0.0000 0.0000  0.00
Mo1 0.7500 0.7500 0.7500  3.37
Ba1 0.5000 0.5000 0.5000  0.08
Hg2 0.2500 0.2500 0.2500  0.01